No. 1
A plane-wave DFT calculation with PBE was carried out for an optimized crystal structure of HfNiAs2Se.

Cell lengths 4.526, 4.526, 4.787 Å; angles 90.00, 90.00, 90.00 degrees
Fractional coordinates of all 5 atoms:
Se  0.000  0.000  0.500
As  0.000  0.500  0.000
As  0.500  0.000  0.000
Ni  0.000  0.000  0.000
Hf  0.500  0.500  0.500

## Properties
V = 19.616 A^3/atom
excess energy over the best structure of this formula in the dataset = 0.0 meV/atom
space-group type = P4/mmm
formation energy (no corrections) = 1.0 eV per formula unit
VASP energy = -0.202 Ha/atom

---

No. 2
A plane-wave DFT calculation with PBE was carried out for an optimized crystal structure of HfNiAs2Se.

Cell lengths 5.134, 5.134, 5.073 Å; angles 90.00, 90.00, 90.00 degrees
Each line ends with the local moment (μB).
Fractional coordinates of all 5 atoms:
Ni  0.500  0.500  0.500  0.79
As  0.500  0.000  0.000  0.00
As  0.000  0.500  0.000  0.00
Hf  0.000  0.000  0.000  0.02
Se  0.000  0.000  0.500  0.03

## Properties
V = 26.749 A^3/atom
excess energy over the best structure of this formula in the dataset = 364.2 meV/atom
space-group type = P4/mmm
formation energy (no corrections) = 2.8 eV per formula unit
VASP energy = -0.189 Ha/atom

---

No. 3
A plane-wave DFT calculation with PBE was carried out for an optimized crystal structure of HfNi7Sn2As2.

Cell lengths 3.638, 3.638, 14.958 Å; angles 83.01, 83.01, 90.01 degrees
Fractional coordinates of all 12 atoms:
Ni  0.935  0.435  0.131
Ni  0.306  0.306  0.388
Ni  0.500  0.500  0.000
Ni  0.065  0.565  0.869
Ni  0.694  0.694  0.612
Ni  0.565  0.065  0.869
Ni  0.435  0.935  0.131
As  0.384  0.384  0.232
As  0.616  0.616  0.768
Sn  0.212  0.212  0.575
Sn  0.788  0.788  0.425
Hf  0.000  0.000  0.000

## Properties
V = 16.255 A^3/atom
calculated formation energy = -289 meV per atom
space-group type = I4/mmm
VASP energy = -0.218 Ha/atom

---

No. 4
A plane-wave DFT calculation with PBE was carried out for an optimized crystal structure of HfThNi2As2.

Cell lengths 4.007, 4.007, 7.672 Å; angles 90.00, 90.00, 120.00 degrees
Fractional coordinates of all 6 atoms:
Ni  0.333  0.667  0.712
Ni  0.667  0.333  0.288
As  0.333  0.667  0.264
As  0.667  0.333  0.736
Hf  0.000  0.000  0.500
Th  0.000  0.000  0.000

## Properties
V = 17.784 A^3/atom
calculated formation energy = -895 meV per atom
space-group type = P-3m1
VASP energy = -0.267 Ha/atom

---

No. 5
A plane-wave DFT calculation with PBE was carried out for an optimized crystal structure of HfTl2NiAs.

Cell lengths 5.643, 4.630, 5.643 Å; angles 90.00, 90.00, 90.00 degrees
Fractional coordinates of all 5 atoms:
Ni  0.000  0.500  0.000
Tl  0.000  0.000  0.500
Tl  0.500  0.000  0.000
Hf  0.000  0.000  0.000
As  0.500  0.500  0.500

## Properties
V = 29.487 A^3/atom
calculated formation energy = 1011 meV per atom
space-group type = P4/mmm
VASP energy = -0.147 Ha/atom

---

No. 6
A plane-wave DFT calculation with PBE was carried out for an optimized crystal structure of HfNpAs.

Cell lengths 4.608, 4.608, 7.869 Å; angles 72.97, 72.97, 60.00 degrees
Each line ends with the local moment (μB).
Fractional coordinates of all 6 atoms:
As  0.719  0.719  0.842  0.01
As  0.281  0.281  0.158  0.01
Np  0.154  0.154  0.537  3.62
Np  0.846  0.846  0.463  3.62
Hf  0.403  0.403  0.790  -0.01
Hf  0.597  0.597  0.210  -0.01

## Properties
V = 22.696 A^3/atom
calculated formation energy = -118 meV per atom
space-group type = R-3m
VASP energy = -0.342 Ha/atom

---

No. 7
A plane-wave DFT calculation with PBE was carried out for an optimized crystal structure of Hf2NpAs4.

Cell lengths 3.861, 6.552, 12.902 Å; angles 90.00, 90.00, 107.14 degrees
Each line ends with the local moment (μB).
Fractional coordinates of all 14 atoms:
Hf  0.865  0.730  0.941  -0.04
Hf  0.865  0.730  0.559  -0.04
Hf  0.135  0.270  0.059  -0.04
Hf  0.135  0.270  0.441  -0.04
As  0.500  0.000  0.500  -0.04
As  0.232  0.463  0.629  -0.06
As  0.056  0.113  0.250  -0.11
As  0.232  0.463  0.871  -0.06
As  0.944  0.887  0.750  -0.11
As  0.500  0.000  0.000  -0.04
As  0.768  0.537  0.371  -0.06
As  0.768  0.537  0.129  -0.06
Np  0.389  0.779  0.250  3.47
Np  0.611  0.221  0.750  3.47

## Properties
V = 22.278 A^3/atom
calculated formation energy = -726 meV per atom
space-group type = Cmcm
VASP energy = -0.297 Ha/atom

---

No. 8
A plane-wave DFT calculation with PBE was carried out for an optimized crystal structure of HfNp3As4.

Cell lengths 4.024, 6.991, 6.991 Å; angles 109.20, 90.00, 90.00 degrees
Each line ends with the local moment (μB).
Fractional coordinates of all 8 atoms:
As  0.000  0.237  0.237  -0.07
As  0.500  0.242  0.758  -0.09
As  0.000  0.763  0.763  -0.07
As  0.500  0.758  0.242  -0.09
Np  0.000  0.500  0.000  3.69
Np  0.500  0.500  0.500  3.86
Np  0.000  0.000  0.500  3.69
Hf  0.500  0.000  0.000  0.01

## Properties
V = 23.215 A^3/atom
calculated formation energy = -775 meV per atom
space-group type = Cmmm
VASP energy = -0.338 Ha/atom

---

No. 9
A plane-wave DFT calculation with PBE was carried out for an optimized crystal structure of Hf3NpAs4.

Cell lengths 3.880, 6.747, 6.747 Å; angles 109.03, 90.00, 90.00 degrees
Each line ends with the local moment (μB).
Fractional coordinates of all 8 atoms:
As  0.000  0.739  0.739  -0.03
As  0.500  0.745  0.255  -0.01
As  0.000  0.261  0.261  -0.03
As  0.500  0.255  0.745  -0.01
Hf  0.000  0.000  0.500  0.06
Hf  0.000  0.500  0.000  0.06
Hf  0.500  0.500  0.500  -0.03
Np  0.500  0.000  0.000  3.71

## Properties
V = 20.870 A^3/atom
calculated formation energy = -902 meV per atom
space-group type = Cmmm
VASP energy = -0.315 Ha/atom

---

No. 10
A plane-wave DFT calculation with PBE was carried out for an optimized crystal structure of HfNpAs2O.

Cell lengths 3.797, 3.797, 13.325 Å; angles 90.00, 90.00, 90.00 degrees
Each line ends with the local moment (μB).
Fractional coordinates of all 10 atoms:
Np  0.000  0.500  0.403  3.21
Np  0.500  0.000  0.597  3.21
As  0.000  0.500  0.116  -0.01
As  0.500  0.000  0.296  -0.14
As  0.500  0.000  0.884  -0.01
As  0.000  0.500  0.704  -0.14
O  0.500  0.500  0.500  -0.11
O  0.000  0.000  0.500  -0.11
Hf  0.000  0.500  0.906  0.00
Hf  0.500  0.000  0.094  0.00

## Properties
V = 19.208 A^3/atom
space-group type = P4/nmm
formation energy (no corrections) = -7.2 eV per formula unit
VASP energy = -0.326 Ha/atom

---

No. 11
A plane-wave DFT calculation with PBE was carried out for an optimized crystal structure of HfNpPa2As4.

Cell lengths 4.053, 6.980, 6.937 Å; angles 109.66, 90.00, 90.00 degrees
Each line ends with the local moment (μB).
Fractional coordinates of all 8 atoms:
As  0.000  0.262  0.763  -0.01
As  0.000  0.738  0.237  -0.01
As  0.500  0.256  0.242  -0.03
As  0.500  0.744  0.758  -0.03
Pa  0.500  0.000  0.500  0.05
Pa  0.000  0.500  0.500  0.20
Np  0.000  0.000  0.000  3.70
Hf  0.500  0.500  0.000  -0.01

## Properties
V = 23.104 A^3/atom
calculated formation energy = -949 meV per atom
space-group type = P2/m
VASP energy = -0.313 Ha/atom

---

No. 12
A plane-wave DFT calculation with PBE was carried out for an optimized crystal structure of HfNp2PaAs4.

Cell lengths 4.041, 7.004, 6.963 Å; angles 109.51, 90.00, 90.00 degrees
Each line ends with the local moment (μB).
Fractional coordinates of all 8 atoms:
As  0.500  0.762  0.762  -0.02
As  0.500  0.238  0.238  -0.02
As  0.000  0.758  0.243  0.02
As  0.000  0.242  0.757  0.02
Np  0.000  0.500  0.500  3.79
Np  0.500  0.000  0.500  -3.73
Hf  0.000  0.000  0.000  -0.06
Pa  0.500  0.500  0.000  -0.12

## Properties
V = 23.218 A^3/atom
calculated formation energy = -860 meV per atom
space-group type = P2/m
VASP energy = -0.325 Ha/atom